(1)
CePaTcMo | PBE | optimized geometry

Values from the calculation:
- Energy: -9.04 eV per atom
- Total magnetization: 0.00 Bohr magnetons per cell
- ρ: 11.3 g/cm³
- Space group: F-43m, No. 216
- DOS(E_F): 1.346 states/eV/atom
- DFT formation energy: 0.11 eV/atom

```
CePaTcMo
1.0
-0.9739 4.0415 -2.6018
-3.8131 0.0718 -3.0833
-3.9553 2.7011 1.0542
Pa Mo Ce Tc
1 1 1 1
direct
0.5000 0.5000 0.5000
0.7500 0.7500 0.7500
0.0000 0.0000 0.0000
0.2500 0.2500 0.2500
```

(2)
La4Co2Ag | PBE | optimized geometry

Values from the calculation:
- Energy: -5.40 eV per atom
- Total magnetization: 0.00 Bohr magnetons per cell
- ρ: 6.9 g/cm³
- Space group: Cmcm, No. 63
- DOS(E_F): 0.867 states/eV/atom
- DFT formation energy: -0.15 eV/atom

```
La4Co2Ag
1.0
-2.0526 3.9486 1.2981
-2.9223 -2.5260 -5.2148
-8.2406 -6.9008 7.9607
La Co Ag
8 4 2
direct
0.2260 0.4521 0.8940
0.2260 0.4521 0.6060
0.5000 0.0000 0.5000
0.0775 0.1550 0.2500
0.9225 0.8450 0.7500
0.5000 0.0000 0.0000
0.7740 0.5479 0.1060
0.7740 0.5479 0.3940
0.8938 0.7875 0.9497
0.8938 0.7875 0.5503
0.1062 0.2125 0.0503
0.1062 0.2125 0.4497
0.3851 0.7702 0.2500
0.6149 0.2298 0.7500
```